Density functional theory data (PBE-GGA) for YCrBPt2 after structural relaxation.

a b c (Å): 4.7050 4.7050 4.0168
angles (deg): 90.00 90.00 90.00
Closest atoms and distances in Å follow each position.
Positions (direct):
Y 0.0000 0.0000 0.0000  8 Pt 3.09, 4 B 3.33
Cr 0.5000 0.5000 0.5000  2 B 2.01
B 0.5000 0.5000 0.0000  2 Cr 2.01
Pt 0.0000 0.5000 0.5000  2 Cr 2.35
Pt 0.5000 0.0000 0.5000  2 Cr 2.35

Results
Energy of formation from the pure elements   0.13 eV per atom
Raw total energy   -6.844 eV per atom
Total magnetic moment   0.000 μB/atom